Arrangement a

A relaxed structure of Tl2ZnRu. Source: the Alexandria database, functional GGA-PBE.

Results
For the total magnetization, the calculation gives 0.0 μB per cell. The value obtained for the volume is 176.4 Å³/cell. The value obtained for the mass density is 10.83 Mg/m³.

Cell lengths 3.127, 4.588, 12.290 Å; angles 90.00, 90.00, 90.00 degrees
Space group Imm2 (No. 44)
Symmetry-distinct sites (fractional):
1 Tl 0.000 0.000 0.000
2 Tl 0.000 0.500 0.206
3 Zn 0.000 0.500 0.830
4 Ru 0.000 0.000 0.498

Arrangement b

A relaxed structure of Tl2ZnRu. Source: the Alexandria database, functional GGA-PBE.

Results
For the total magnetization, the calculation gives 0.4 μB per cell. The value obtained for the volume is 78.4 Å³/cell. The value obtained for the mass density is 12.19 Mg/m³.

Cell lengths 3.607, 3.607, 6.022 Å; angles 90.00, 90.00, 90.00 degrees
Space group P4/mmm (No. 123)
Symmetry-distinct sites (fractional):
1 Tl 0.000 0.000 0.246
2 Zn 0.500 0.500 0.500
3 Ru 0.500 0.500 0.000

So which one wins? Going from most stable to least: arrangement a, arrangement b.

Arrangement a

A relaxed structure of Tl2ZnRu. Source: the Alexandria database, functional GGA-PBE.

Results
For the total magnetization, the calculation gives 0.0 μB per cell. The value obtained for the volume is 317.0 Å³/cell. The value obtained for the mass density is 12.05 Mg/m³.

Cell lengths 6.819, 6.819, 6.819 Å; angles 90.00, 90.00, 90.00 degrees
Space group Fm-3m (No. 225)
Symmetry-distinct sites (fractional):
1 Tl 0.250 0.250 0.250
2 Zn 0.000 0.000 0.000
3 Ru 0.000 0.000 0.500

Arrangement b

A relaxed structure of Tl2ZnRu. Source: the Alexandria database, functional GGA-PBE.

Results
For the total magnetization, the calculation gives 0.0 μB per cell. The value obtained for the volume is 154.2 Å³/cell. The value obtained for the mass density is 12.39 Mg/m³.

Cell lengths 4.245, 4.245, 8.559 Å; angles 90.00, 90.00, 90.00 degrees
Space group I4/mmm (No. 139)
Symmetry-distinct sites (fractional):
1 Tl 0.000 0.500 0.250
2 Zn 0.000 0.000 0.000
3 Ru 0.000 0.000 0.500

Arrangement c

A relaxed structure of Tl2ZnRu. Source: the Alexandria database, functional GGA-PBE.

Results
For the total magnetization, the calculation gives 0.0 μB per cell. The value obtained for the volume is 523.3 Å³/cell. The value obtained for the mass density is 7.30 Mg/m³.

Cell lengths 10.322, 10.322, 4.912 Å; angles 90.00, 90.00, 90.00 degrees
Space group I4_1/amd (No. 141, origin choice 2)
Symmetry-distinct sites (fractional):
1 Tl 0.000 0.000 0.000
2 Zn 0.000 0.250 0.375
3 Ru 0.000 0.250 0.875

So which one wins? Going from most stable to least: arrangement c, arrangement b, arrangement a.

Arrangement a

A relaxed structure of Tl2ZnRu. Source: the Alexandria database, functional GGA-PBE.

Results
For the total magnetization, the calculation gives 1.0 μB per cell. The value obtained for the volume is 248.1 Å³/cell. The value obtained for the mass density is 11.55 Mg/m³.

Cell lengths 3.2814, 3.2814, 26.6111 Å; angles 90.00, 90.00, 120.00 degrees
Space group R-3m (No. 166, hexagonal axes)
Symmetry-distinct sites (fractional):
1 Tl 0.0000 0.0000 0.2454
2 Zn 0.0000 0.0000 0.0000
3 Ru 0.0000 0.0000 0.5000

Arrangement b

A relaxed structure of Tl2ZnRu. Source: the Alexandria database, functional GGA-PBE.

Results
For the total magnetization, the calculation gives 0.0 μB per cell. The value obtained for the volume is 162.3 Å³/cell. The value obtained for the mass density is 11.77 Mg/m³.

Cell lengths 4.202, 3.679, 10.497 Å; angles 90.00, 90.00, 90.00 degrees
Space group Amm2 (No. 38)
Symmetry-distinct sites (fractional):
1 Tl 0.000 0.000 0.000
2 Tl 0.500 0.000 0.304
3 Zn 0.500 0.000 0.585
4 Ru 0.000 0.000 0.726

Arrangement c

A relaxed structure of Tl2ZnRu. Source: the Alexandria database, functional GGA-PBE.

Results
For the total magnetization, the calculation gives 0.0 μB per cell. The value obtained for the volume is 80.3 Å³/cell. The value obtained for the mass density is 11.89 Mg/m³.

Cell lengths 3.489, 4.434, 5.193 Å; angles 90.00, 90.00, 90.00 degrees
Space group Pmmm (No. 47)
Symmetry-distinct sites (fractional):
1 Tl 0.000 0.000 0.000
2 Tl 0.500 0.000 0.500
3 Zn 0.000 0.500 0.500
4 Ru 0.500 0.500 0.000

Arrangement d

A relaxed structure of Tl2ZnRu. Source: the Alexandria database, functional GGA-PBE.

Results
For the total magnetization, the calculation gives 0.0 μB per cell. The value obtained for the volume is 153.3 Å³/cell. The value obtained for the mass density is 12.46 Mg/m³.

Cell lengths 4.086, 4.086, 9.182 Å; angles 90.00, 90.00, 90.00 degrees
Space group I-4m2 (No. 119)
Symmetry-distinct sites (fractional):
1 Tl 0.000 0.000 0.000
2 Tl 0.000 0.500 0.250
3 Zn 0.000 0.500 0.750
4 Ru 0.000 0.000 0.500

So which one wins? Going from most stable to least: arrangement b, arrangement d, arrangement a, arrangement c.

Arrangement a

A relaxed structure of Tl2ZnRu. Source: the Alexandria database, functional GGA-PBE.

Results
For the total magnetization, the calculation gives 0.0 μB per cell. The value obtained for the volume is 156.3 Å³/cell. The value obtained for the mass density is 12.22 Mg/m³.

Cell lengths 6.178, 7.577, 3.340 Å; angles 90.00, 90.00, 90.00 degrees
Space group Cmmm (No. 65)
Symmetry-distinct sites (fractional):
1 Tl 0.250 0.250 0.000
2 Zn 0.000 0.000 0.500
3 Ru 0.000 0.500 0.500

Arrangement b

A relaxed structure of Tl2ZnRu. Source: the Alexandria database, functional GGA-PBE.

Results
For the total magnetization, the calculation gives 0.0 μB per cell. The value obtained for the volume is 84.5 Å³/cell. The value obtained for the mass density is 11.31 Mg/m³.

Cell lengths 3.324, 3.324, 7.646 Å; angles 90.00, 90.00, 90.00 degrees
Space group P4mm (No. 99)
Symmetry-distinct sites (fractional):
1 Tl 0.000 0.000 0.000
2 Tl 0.500 0.500 0.350
3 Zn 0.000 0.000 0.623
4 Ru 0.500 0.500 0.764

So which one wins? Going from most stable to least: arrangement b, arrangement a.

Arrangement a

A relaxed structure of Tl2ZnRu. Source: the Alexandria database, functional GGA-PBE.

Results
For the total magnetization, the calculation gives 0.0 μB per cell. The value obtained for the volume is 78.3 Å³/cell. The value obtained for the mass density is 12.20 Mg/m³.

Cell lengths 4.883, 4.883, 3.283 Å; angles 90.00, 90.00, 90.00 degrees
Space group P4/mmm (No. 123)
Symmetry-distinct sites (fractional):
1 Tl 0.000 0.500 0.000
2 Zn 0.000 0.000 0.500
3 Ru 0.500 0.500 0.500

Arrangement b

A relaxed structure of Tl2ZnRu. Source: the Alexandria database, functional GGA-PBE.

Results
For the total magnetization, the calculation gives 0.0 μB per cell. The value obtained for the volume is 158.8 Å³/cell. The value obtained for the mass density is 12.03 Mg/m³.

Cell lengths 9.501, 3.504, 4.961 Å; angles 90.00, 105.99, 90.00 degrees
Space group C2/m (No. 12)
Symmetry-distinct sites (fractional):
1 Tl 0.245 0.000 0.241
2 Zn 0.000 0.000 0.500
3 Ru 0.000 0.500 0.000

So which one wins? Going from most stable to least: arrangement a, arrangement b.

Arrangement a

A relaxed structure of TlZnRu3. Source: the Alexandria database, functional GGA-PBE.

Results
For the total magnetization, the calculation gives 5.0 μB per cell. The value obtained for the volume is 97.2 Å³/cell. The value obtained for the mass density is 9.79 Mg/m³.

Cell lengths 4.598, 4.598, 4.598 Å; angles 90.00, 90.00, 90.00 degrees
Space group Pm-3m (No. 221)
Symmetry-distinct sites (fractional):
1 Tl 0.000 0.000 0.000
2 Zn 0.500 0.500 0.500
3 Ru 0.000 0.500 0.500

Arrangement b

A relaxed structure of TlZnRu3. Source: the Alexandria database, functional GGA-PBE.

Results
For the total magnetization, the calculation gives 5.0 μB per cell. The value obtained for the volume is 123.5 Å³/cell. The value obtained for the mass density is 7.70 Mg/m³.

Cell lengths 4.981, 4.981, 4.981 Å; angles 90.00, 90.00, 90.00 degrees
Space group Pm-3m (No. 221)
Symmetry-distinct sites (fractional):
1 Tl 0.000 0.000 0.000
2 Zn 0.500 0.500 0.500
3 Ru 0.000 0.000 0.500

So which one wins? Going from most stable to least: arrangement a, arrangement b.